# 1
# BeAu2Cl | the Alexandria database | GGA-PBE | relaxed
data_BeAu2Cl
_chemical_formula_sum 'Be2 Au4 Cl2'
_symmetry_space_group_name_H-M 'P 1'
_symmetry_Int_Tables_number 1
_cell_length_a 6.0840
_cell_length_b 6.0840
_cell_length_c 6.0840
_cell_angle_alpha 98.80
_cell_angle_beta 98.80
_cell_angle_gamma 133.95
loop_
_symmetry_equiv_pos_as_xyz
'x,y,z'
loop_
_atom_site_label
_atom_site_type_symbol
_atom_site_fract_x
_atom_site_fract_y
_atom_site_fract_z
Be1 Be 0.0000 0.0000 0.0000
Be2 Be 0.7500 0.2500 0.5000
Au1 Au 0.0298 0.6250 0.9048
Au2 Au 0.3750 0.2798 0.4048
Au3 Au 0.7202 0.1250 0.0952
Au4 Au 0.8750 0.9702 0.5952
Cl1 Cl 0.2500 0.7500 0.5000
Cl2 Cl 0.5000 0.5000 0.0000
# - Energy above the lowest structure with this stoichiometry: 503 meV per atom
# - Magnetization: 0.000 μB per atom
# - Crystal system: tetragonal
# - Formation energy without anion corrections: 160 meV per atom
# - Calculated volume: 74.61 Å³/f.u.
# - Density of states at the Fermi level: 1.46 states/eV/f.u.

# 2
# Be3AuCl | the Alexandria database | GGA-PBE | relaxed
data_Be3AuCl
_chemical_formula_sum 'Be3 Au1 Cl1'
_symmetry_space_group_name_H-M 'P 1'
_symmetry_Int_Tables_number 1
_cell_length_a 4.4981
_cell_length_b 4.4981
_cell_length_c 4.4981
_cell_angle_alpha 90.00
_cell_angle_beta 90.00
_cell_angle_gamma 90.00
loop_
_symmetry_equiv_pos_as_xyz
'x,y,z'
loop_
_atom_site_label
_atom_site_type_symbol
_atom_site_fract_x
_atom_site_fract_y
_atom_site_fract_z
Be1 Be 0.0000 0.0000 0.5000
Be2 Be 0.0000 0.5000 0.0000
Be3 Be 0.5000 0.0000 0.0000
Au1 Au 0.0000 0.0000 0.0000
Cl1 Cl 0.5000 0.5000 0.5000
# - Energy above the lowest structure with this stoichiometry: 0 meV per atom
# - Magnetization: 0.000 μB per atom
# - Crystal system: cubic
# - Formation energy without anion corrections: 504 meV per atom
# - Calculated volume: 91.01 Å³/f.u.
# - Density of states at the Fermi level: 2.77 states/eV/f.u.

# 3
# BeAuCl | the Alexandria database | GGA-PBE | relaxed
data_BeAuCl
_chemical_formula_sum 'Be1 Au1 Cl1'
_symmetry_space_group_name_H-M 'P 1'
_symmetry_Int_Tables_number 1
_cell_length_a 6.8541
_cell_length_b 6.8541
_cell_length_c 6.8541
_cell_angle_alpha 155.40
_cell_angle_beta 155.40
_cell_angle_gamma 35.06
loop_
_symmetry_equiv_pos_as_xyz
'x,y,z'
loop_
_atom_site_label
_atom_site_type_symbol
_atom_site_fract_x
_atom_site_fract_y
_atom_site_fract_z
Be1 Be 0.0000 0.0000 0.0000
Au1 Au 0.3843 0.3843 0.0000
Cl1 Cl 0.6065 0.6065 0.0000
# - Energy above the lowest structure with this stoichiometry: 403 meV per atom
# - Magnetization: 0.000 μB per atom
# - Crystal system: tetragonal
# - Formation energy without anion corrections: -67 meV per atom
# - Calculated volume: 55.72 Å³/f.u.
# - Density of states at the Fermi level: 0.64 states/eV/f.u.

# 4
# BeAu2Cl | the Alexandria database | GGA-PBE | relaxed
data_BeAu2Cl
_chemical_formula_sum 'Be1 Au2 Cl1'
_symmetry_space_group_name_H-M 'P 1'
_symmetry_Int_Tables_number 1
_cell_length_a 4.7825
_cell_length_b 2.9756
_cell_length_c 6.9547
_cell_angle_alpha 90.00
_cell_angle_beta 96.77
_cell_angle_gamma 90.00
loop_
_symmetry_equiv_pos_as_xyz
'x,y,z'
loop_
_atom_site_label
_atom_site_type_symbol
_atom_site_fract_x
_atom_site_fract_y
_atom_site_fract_z
Be1 Be 0.0000 0.0000 0.0000
Au1 Au 0.3620 0.0000 0.2533
Au2 Au 0.8550 0.5000 0.2528
Cl1 Cl 0.9701 0.5000 0.8033
# - Energy above the lowest structure with this stoichiometry: 0 meV per atom
# - Magnetization: 0.000 μB per atom
# - Crystal system: monoclinic
# - Formation energy without anion corrections: -342 meV per atom
# - Calculated volume: 98.28 Å³/f.u.
# - Density of states at the Fermi level: 0.70 states/eV/f.u.

Please write out number 3 again, unchanged.
# BeAuCl | the Alexandria database | GGA-PBE | relaxed
data_BeAuCl
_chemical_formula_sum 'Be1 Au1 Cl1'
_symmetry_space_group_name_H-M 'P 1'
_symmetry_Int_Tables_number 1
_cell_length_a 6.8541
_cell_length_b 6.8541
_cell_length_c 6.8541
_cell_angle_alpha 155.40
_cell_angle_beta 155.40
_cell_angle_gamma 35.06
loop_
_symmetry_equiv_pos_as_xyz
'x,y,z'
loop_
_atom_site_label
_atom_site_type_symbol
_atom_site_fract_x
_atom_site_fract_y
_atom_site_fract_z
Be1 Be 0.0000 0.0000 0.0000
Au1 Au 0.3843 0.3843 0.0000
Cl1 Cl 0.6065 0.6065 0.0000
# - Energy above the lowest structure with this stoichiometry: 403 meV per atom
# - Magnetization: 0.000 μB per atom
# - Crystal system: tetragonal
# - Formation energy without anion corrections: -67 meV per atom
# - Calculated volume: 55.72 Å³/f.u.
# - Density of states at the Fermi level: 0.64 states/eV/f.u.

Q: What is the energy above the lowest structure with this stoichiometry in the first record?
A: 503 meV per atom

Q: What is the calculated volume in the second record?
A: 91.01 Å³/f.u.

Q: formation energy without anion corrections of number 2 (Be3AuCl)?
A: 504 meV per atom